1.
DFT (PBE-GGA) results for a relaxed structure of BH3Rh4.

Density of states at the Fermi level in states/eV/cell: 17.64

Structure (POSCAR):
```
BH3Rh4
1.0
8.0338 0.0000 0.0000
0.0000 4.2645 0.0000
0.0000 0.0000 4.2678
B H Rh
2 6 8
Direct
0.0000 0.2477 0.0000
0.5000 0.7523 0.5000
0.0000 0.6864 0.4425
0.2503 0.2028 0.4571
0.2497 0.7972 0.9571
0.5000 0.3136 0.9425
0.7497 0.2028 0.4571
0.7503 0.7972 0.9571
0.0000 0.2618 0.5055
0.0000 0.7482 0.0140
0.2483 0.7565 0.5139
0.2517 0.2435 0.0139
0.5000 0.2518 0.5140
0.5000 0.7382 0.0055
0.7483 0.2435 0.0139
0.7517 0.7565 0.5139
```

=====

2.
DFT (PBE-GGA) results for a relaxed structure of BH2RhS.

Density of states at the Fermi level in states/eV/cell: 3.08

Structure (POSCAR):
```
BH2RhS
1.0
3.2516 0.0000 0.0000
0.0000 3.2516 0.0000
0.0000 0.0000 4.6615
B H Rh S
1 2 1 1
Direct
0.0000 0.0000 0.0000
0.0000 0.5000 0.0000
0.5000 0.0000 0.0000
0.5000 0.5000 0.5000
0.0000 0.0000 0.5000
```

=====

3.
DFT (PBE-GGA) results for a relaxed structure of Sc2BHRh6.

Density of states at the Fermi level in states/eV/cell: 6.55

Structure (POSCAR):
```
Sc2BHRh6
1.0
-2.8674 2.8674 4.0298
2.8674 -2.8674 4.0298
2.8674 2.8674 -4.0298
Sc B H Rh
2 1 1 6
Direct
0.2500 0.7500 0.5000
0.7500 0.2500 0.5000
0.0000 0.0000 0.0000
0.5000 0.5000 0.0000
0.2561 0.2561 0.0000
0.2555 0.2555 0.5111
0.2555 0.7445 0.0000
0.7445 0.2555 0.0000
0.7439 0.7439 0.0000
0.7445 0.7445 0.4889
```

=====

4.
DFT (PBE-GGA) results for a relaxed structure of TaBH2Rh.

Density of states at the Fermi level in states/eV/cell: 2.71

Structure (POSCAR):
```
TaBH2Rh
1.0
3.2992 0.0000 0.0000
0.0000 3.2992 0.0000
0.0000 0.0000 5.1851
Ta B H Rh
1 1 2 1
Direct
0.0000 0.0000 0.0000
0.5000 0.5000 0.0000
0.0000 0.5000 0.5000
0.5000 0.0000 0.5000
0.0000 0.0000 0.5000
```

=====

5.
DFT (PBE-GGA) results for a relaxed structure of Tb2BHRh6.

Density of states at the Fermi level in states/eV/cell: 6.67

Structure (POSCAR):
```
Tb2BHRh6
1.0
4.1313 -4.1510 0.0000
4.1313 4.1510 0.0000
-4.1230 0.0000 4.1497
Tb B H Rh
2 1 1 6
Direct
0.2491 0.7509 0.0000
0.7509 0.2491 0.0000
0.0000 0.0000 0.5000
0.5000 0.5000 0.5000
0.2554 0.2554 0.0097
0.2547 0.7453 0.5000
0.2559 0.2559 0.5011
0.7441 0.7441 0.4989
0.7453 0.2547 0.5000
0.7446 0.7446 0.9903
```

=====

6.
DFT (PBE-GGA) results for a relaxed structure of Th2BHRh6.

Density of states at the Fermi level in states/eV/cell: 9.67

Structure (POSCAR):
```
Th2BHRh6
1.0
4.2537 0.0000 0.0000
0.0000 4.2537 0.0000
0.0000 0.0000 8.3411
Th B H Rh
2 1 1 6
Direct
0.0000 0.0000 0.2431
0.0000 0.0000 0.7569
0.5000 0.5000 0.5000
0.5000 0.5000 0.0000
0.0000 0.5000 0.0000
0.0000 0.5000 0.5000
0.5000 0.0000 0.0000
0.5000 0.0000 0.5000
0.5000 0.5000 0.2467
0.5000 0.5000 0.7533
```

=====

Number 1: raw total energy -5.7988 eV per atom. Number 2: raw total energy -4.2676 eV per atom. Number 3: raw total energy -7.4001 eV per atom. Number 4: raw total energy -6.0942 eV per atom. Number 5: raw total energy -7.0392 eV per atom. Number 6: raw total energy -7.6917 eV per atom.